VASP calculation (GGA-PBE) on an optimized crystal structure of YGa4CoRh2.

Cell lengths 4.1843, 4.1843, 25.5765 Å; angles 90.00, 90.00, 120.00 degrees
Space group R-3m (No. 166, hexagonal axes)
Unique sites:
1 Y 0.0000 0.0000 0.0000 (multiplicity 3)
2 Ga 0.0000 0.0000 0.1339 (multiplicity 6)
3 Ga 0.0000 0.0000 0.4011 (multiplicity 6)
4 Co 0.0000 0.0000 0.5000 (multiplicity 3)
5 Rh 0.0000 0.0000 0.2351 (multiplicity 6)

Computed properties:
VASP energy in eV/atom: -5.649
Volume in Å³/f.u.: 129.3
Density in g/cm³: 8.1